PmSmSBr PBE-GGA relaxed; E_form (uncorrected) = -1.558 eV/atom
1.0
3.9048 -0.0021 0.0025
-1.9534 3.3844 0.0000
-1.9463 -1.1237 7.7319
Pm Br Sm S
1 1 1 1
Direct
0.9377 0.3668 0.3198 Pm
0.4730 0.1344 0.6223 Br
0.3321 0.5640 0.9113 Sm
0.1351 0.9655 0.1162 S

---

TbPmSBr PBE-GGA relaxed; E_form (uncorrected) = -1.527 eV/atom
1.0
-0.1174 -3.5080 1.6418
-0.1231 0.3409 -3.8621
7.7692 1.8260 -0.0844
Tb Br Pm S
1 1 1 1
Direct
0.3331 0.5645 0.9130 Tb
0.4786 0.1371 0.6308 Br
0.9364 0.3664 0.3177 Pm
0.1298 0.9629 0.1081 S

---

Pm3Sb2Br2 PBE-GGA relaxed; E_form (uncorrected) = -1.306 eV/atom
1.0
4.3934 0.0000 0.0000
0.0000 7.6814 0.1411
-2.1967 -1.8465 7.0695
Sb Pm Br
2 3 2
Direct
0.6126 0.8499 0.2253 Sb
0.3874 0.1501 0.7747 Sb
0.0000 0.0000 0.0000 Pm
0.2450 0.7722 0.4899 Pm
0.7550 0.2278 0.5101 Pm
0.8599 0.6332 0.7199 Br
0.1401 0.3668 0.2801 Br

---

Pm3SbBr3 PBE-GGA relaxed; E_form (uncorrected) = -1.383 eV/atom
1.0
7.0153 0.0000 2.2273
3.1541 6.2663 2.2273
0.1733 0.1068 11.6161
Pm Sb Br
6 2 6
Direct
0.2753 0.9460 0.1620 Pm
0.7247 0.0540 0.8380 Pm
0.9460 0.6167 0.1620 Pm
0.0540 0.3833 0.8380 Pm
0.3833 0.7247 0.8380 Pm
0.6167 0.2753 0.1620 Pm
0.3333 0.3333 0.0000 Sb
0.6667 0.6667 0.0000 Sb
0.5547 0.8909 0.3274 Br
0.8909 0.2270 0.3274 Br
0.4453 0.1091 0.6726 Br
0.2270 0.5547 0.3274 Br
0.1091 0.7730 0.6726 Br
0.7730 0.4453 0.6726 Br